Entry 1:
# Ba2TaTi3O12

A relaxed Ba2TaTi3O12 crystal (GGA-PBE, the Alexandria database).

Unit cell a=7.1411 b=7.1411 c=17.9904 alpha=90.00 beta=90.00 gamma=120.00
Closest atoms and distances in Å follow each position.
Space group R-3m (No. 166, hexagonal axes)
Unique sites:
Ba 0.0000 0.0000 0.1162 (multiplicity 6)  6 O 2.96-3.16
Ta 0.0000 0.0000 0.5000 (multiplicity 3)  6 O 1.98
Ti 0.0000 0.5000 0.0000 (multiplicity 9)  6 O 1.95-1.96
O 0.0625 0.5312 0.3571 (multiplicity 18)  2 Ti 1.95
O 0.0643 0.5322 0.1066 (multiplicity 18)  1 Ti 1.96, 1 Ta 1.98

Calculated values
calculated total energy	-8.03	eV per atom
size of the total moment	0.170	μB per atom

***

Entry 2:
# Ba3Ta4Ti4O21

A relaxed Ba3Ta4Ti4O21 crystal (GGA-PBE, the Alexandria database).

Unit cell a=15.8090 b=9.1618 c=11.9061 alpha=90.00 beta=90.07 gamma=90.00
Closest atoms and distances in Å follow each position.
Space group C2/c (No. 15)
Unique sites:
Ba 0.0000 0.0910 0.2500 (multiplicity 4)  8 O 2.81-3.12
Ba 0.2000 0.2950 0.7503 (multiplicity 8)  7 O 2.76-3.08
Ta 0.1191 0.3792 0.0923 (multiplicity 8)  6 O 1.93-2.06
Ta 0.1659 0.0034 0.5000 (multiplicity 8)  6 O 1.98-2.02
Ti 0.9999 0.2529 0.5961 (multiplicity 8)  4 O 1.86-2.06
Ti 0.1230 0.3745 0.4066 (multiplicity 8)  5 O 1.88-2.10
O 0.0000 0.2890 0.7500 (multiplicity 4)  2 Ti 1.86
O 0.0004 0.2952 0.0739 (multiplicity 8)  1 Ta 2.04, 2 Ti 2.06-2.10
O 0.0832 0.1025 0.9021 (multiplicity 8)  1 Ti 1.90, 1 Ta 2.00
O 0.0856 0.1044 0.6013 (multiplicity 8)  1 Ti 1.92, 1 Ta 1.98
O 0.1015 0.3975 0.9249 (multiplicity 8)  1 Ta 2.02, 2 Ti 2.09-2.13
O 0.1010 0.3998 0.5733 (multiplicity 8)  2 Ti 2.03-2.11, 1 Ta 2.06
O 0.1019 0.3980 0.2520 (multiplicity 8)  1 Ti 1.88, 1 Ta 1.93
O 0.1558 0.1744 0.3984 (multiplicity 8)  1 Ti 1.91, 1 Ta 1.99
O 0.1578 0.1740 0.1004 (multiplicity 8)  2 Ta 1.98-2.02
O 0.2395 0.4256 0.4027 (multiplicity 8)  1 Ti 1.90, 1 Ta 2.00
O 0.2413 0.4268 0.1004 (multiplicity 8)  2 Ta 1.98-2.02

Calculated values
calculated total energy	-8.94	eV per atom
size of the total moment	0.000	μB per atom